1.
Material: Tm2ScPd8
Method: DFT, PBE
State: relaxed

Values from the calculation:
Space group ... C2/m
Formation energy from the elements ... -0.783 eV/atom

POSCAR file:
```
Tm2ScPd8
1.0
7.286 -2.084 0.000
7.286 2.084 0.000
-2.123 0.000 6.295
Tm Sc Pd
2 1 8
direct
0.218 0.218 0.166
0.782 0.782 0.834
0.500 0.500 0.500
0.037 0.037 0.222
0.140 0.140 0.677
0.326 0.326 0.594
0.408 0.408 0.056
0.592 0.592 0.944
0.674 0.674 0.406
0.860 0.860 0.323
0.963 0.963 0.778
```



2.
Material: InRe2Br
Method: DFT, PBE
State: relaxed

Values from the calculation:
Space group ... Immm
Total DFT energy (no corrections) ... -6.22 eV per atom

POSCAR file:
```
InRe2Br
1.0
2.868 0.000 0.000
0.000 5.090 0.000
0.000 0.000 9.825
In Re Br
2 4 2
direct
0.000 0.000 0.000
0.500 0.500 0.500
0.000 0.500 0.243
0.000 0.500 0.757
0.500 0.000 0.257
0.500 0.000 0.743
0.000 0.000 0.500
0.500 0.500 0.000
```



3.
Material: Ac2Cu5Si4
Method: DFT, PBE
State: relaxed

Values from the calculation:
Space group ... Fmmm
Total DFT energy (no corrections) ... -4.87 eV per atom

POSCAR file:
```
Ac2Cu5Si4
1.0
0.000 4.722 6.988
2.996 0.000 6.988
2.996 4.722 0.000
Ac Cu Si
2 5 4
direct
0.141 0.141 0.859
0.859 0.859 0.141
0.000 0.000 0.500
0.250 0.250 0.250
0.500 0.500 0.000
0.500 0.500 0.500
0.750 0.750 0.750
0.224 0.498 0.502
0.498 0.224 0.776
0.502 0.776 0.224
0.776 0.502 0.498
```



4.
Material: LaTbPm4
Method: DFT, PBE
State: relaxed

Values from the calculation:
Space group ... F-43m
Formation energy from the elements ... 0.248 eV/atom

POSCAR file:
```
LaTbPm4
1.0
0.000 4.747 4.747
4.747 0.000 4.747
4.747 4.747 0.000
La Tb Pm
1 1 4
direct
0.000 0.000 0.000
0.750 0.750 0.750
0.376 0.376 0.376
0.376 0.376 0.872
0.376 0.872 0.376
0.872 0.376 0.376
```



5.
Material: Tb2YSn
Method: DFT, PBE
State: relaxed

Values from the calculation:
Space group ... R-3m
Formation energy from the elements ... 0.049 eV/atom

POSCAR file:
```
Tb2YSn
1.0
3.523 0.000 0.000
-1.761 3.051 0.000
0.000 0.000 35.931
Tb Y Sn
6 3 3
direct
0.000 0.000 0.087
0.000 0.000 0.913
0.333 0.667 0.580
0.333 0.667 0.754
0.667 0.333 0.246
0.667 0.333 0.420
0.000 0.000 0.500
0.333 0.667 0.167
0.667 0.333 0.833
0.000 0.000 0.000
0.333 0.667 0.667
0.667 0.333 0.333
```



6.
Material: Mg2AlIn
Method: DFT, PBE
State: relaxed

Values from the calculation:
Space group ... Cmmm
Formation energy from the elements ... -0.027 eV/atom

POSCAR file:
```
Mg2AlIn
1.0
6.258 0.000 0.000
0.000 8.660 0.000
0.000 0.000 3.145
Mg Al In
4 2 2
direct
0.250 0.250 0.000
0.250 0.750 0.000
0.750 0.250 0.000
0.750 0.750 0.000
0.000 0.000 0.500
0.500 0.500 0.500
0.000 0.500 0.500
0.500 0.000 0.500
```



7.
Material: ThSnIr
Method: DFT, PBE
State: relaxed

Values from the calculation:
Space group ... I4mm
Formation energy from the elements ... -0.346 eV/atom

POSCAR file:
```
ThSnIr
1.0
3.911 0.000 0.000
0.000 3.911 0.000
0.000 0.000 10.008
Th Sn Ir
2 2 2
direct
0.000 0.000 0.000
0.500 0.500 0.500
0.000 0.000 0.310
0.500 0.500 0.810
0.000 0.000 0.594
0.500 0.500 0.094
```



8.
Material: ZnAgMo2
Method: DFT, PBE
State: relaxed

Values from the calculation:
Space group ... R-3m
Formation energy from the elements ... 0.423 eV/atom

POSCAR file:
```
ZnAgMo2
1.0
2.785 0.000 0.000
-1.392 2.412 0.000
0.000 0.000 28.491
Zn Ag Mo
3 3 6
direct
0.000 0.000 0.000
0.333 0.667 0.667
0.667 0.333 0.333
0.000 0.000 0.500
0.333 0.667 0.167
0.667 0.333 0.833
0.000 0.000 0.253
0.000 0.000 0.747
0.333 0.667 0.414
0.333 0.667 0.920
0.667 0.333 0.080
0.667 0.333 0.586
```



9.
Material: Rb2HgIrBr6
Method: DFT, PBE
State: relaxed

Values from the calculation:
Space group ... Pmmn
Total DFT energy (no corrections) ... -2.93 eV per atom

POSCAR file:
```
Rb2HgIrBr6
1.0
7.860 0.000 0.000
0.000 10.520 0.000
0.000 0.000 8.244
Rb Hg Ir Br
4 2 2 12
direct
0.250 0.004 0.233
0.250 0.496 0.233
0.750 0.504 0.767
0.750 0.996 0.767
0.250 0.250 0.715
0.750 0.750 0.285
0.250 0.750 0.762
0.750 0.250 0.238
0.019 0.750 0.979
0.025 0.750 0.544
0.250 0.513 0.796
0.250 0.987 0.796
0.475 0.750 0.544
0.481 0.750 0.979
0.519 0.250 0.021
0.525 0.250 0.456
0.750 0.013 0.204
0.750 0.487 0.204
0.975 0.250 0.456
0.981 0.250 0.021
```



10.
Material: NaPmTcO4
Method: DFT, PBE
State: relaxed

Values from the calculation:
Space group ... Imma
Total DFT energy (no corrections) ... -7.26 eV per atom

POSCAR file:
```
NaPmTcO4
1.0
-3.192 3.564 4.687
3.192 -3.564 4.687
3.192 3.564 -4.687
Na Pm Tc O
2 2 2 8
direct
0.367 0.117 0.250
0.633 0.883 0.750
0.000 0.500 0.500
0.500 0.500 0.000
0.000 0.000 0.500
0.000 0.500 0.000
0.191 0.250 0.941
0.192 0.750 0.441
0.218 0.238 0.519
0.218 0.699 0.981
0.782 0.301 0.019
0.782 0.762 0.481
0.808 0.250 0.559
0.809 0.750 0.059
```



11.
Material: YCoIr2
Method: DFT, PBE
State: relaxed

Values from the calculation:
Space group ... F-43m
Formation energy from the elements ... 0.057 eV/atom

POSCAR file:
```
YCoIr2
1.0
6.437 0.000 0.000
0.000 6.437 0.000
0.000 0.000 6.437
Y Co Ir
4 4 8
direct
0.000 0.000 0.000
0.000 0.500 0.500
0.500 0.000 0.500
0.500 0.500 0.000
0.250 0.250 0.750
0.250 0.750 0.250
0.750 0.250 0.250
0.750 0.750 0.750
0.000 0.000 0.500
0.000 0.500 0.000
0.250 0.250 0.250
0.250 0.750 0.750
0.500 0.000 0.000
0.500 0.500 0.500
0.750 0.250 0.750
0.750 0.750 0.250
```



12.
Material: KGePb2C
Method: DFT, PBE
State: relaxed

Values from the calculation:
Space group ... P4/mmm
Formation energy from the elements ... 2.445 eV/atom

POSCAR file:
```
KGePb2C
1.0
6.075 0.000 0.000
0.000 6.075 0.000
0.000 0.000 5.590
K Ge Pb C
1 1 2 1
direct
0.000 0.000 0.000
0.000 0.000 0.500
0.000 0.500 0.000
0.500 0.000 0.000
0.500 0.500 0.500
```



13.
Material: NaDyTm2Te4
Method: DFT, PBE
State: relaxed

Values from the calculation:
Space group ... P2/m
Total DFT energy (no corrections) ... -4.69 eV per atom

POSCAR file:
```
NaDyTm2Te4
1.0
7.579 0.000 0.000
0.000 4.314 0.000
-2.449 0.000 7.178
Na Dy Tm Te
1 1 2 4
direct
0.000 0.000 0.000
0.000 0.500 0.500
0.500 0.000 0.500
0.500 0.500 0.000
0.254 0.000 0.752
0.257 0.500 0.254
0.743 0.500 0.746
0.746 0.000 0.248
```



14.
Material: TbHf2V
Method: DFT, PBE
State: relaxed

Values from the calculation:
Space group ... P4/mmm
Formation energy from the elements ... 0.190 eV/atom

POSCAR file:
```
TbHf2V
1.0
3.374 0.000 0.000
0.000 3.374 0.000
0.000 0.000 7.782
Tb Hf V
1 2 1
direct
0.000 0.000 0.000
0.500 0.500 0.304
0.500 0.500 0.696
0.000 0.000 0.500
```



15.
Material: ScCuW2
Method: DFT, PBE
State: relaxed

Values from the calculation:
Space group ... Fm-3m
Formation energy from the elements ... 0.761 eV/atom

POSCAR file:
```
ScCuW2
1.0
6.340 0.000 0.000
0.000 6.340 0.000
0.000 0.000 6.340
Sc Cu W
4 4 8
direct
0.000 0.000 0.000
0.000 0.500 0.500
0.500 0.000 0.500
0.500 0.500 0.000
0.000 0.000 0.500
0.000 0.500 0.000
0.500 0.000 0.000
0.500 0.500 0.500
0.250 0.250 0.250
0.250 0.250 0.750
0.250 0.750 0.250
0.250 0.750 0.750
0.750 0.250 0.250
0.750 0.250 0.750
0.750 0.750 0.250
0.750 0.750 0.750
```



16.
Material: RbGeI2O
Method: DFT, PBE
State: relaxed

Values from the calculation:
Space group ... P4/mmm
Total DFT energy (no corrections) ... -2.25 eV per atom

POSCAR file:
```
RbGeI2O
1.0
6.502 0.000 0.000
0.000 6.502 0.000
0.000 0.000 4.226
Rb Ge I O
1 1 2 1
direct
0.000 0.000 0.000
0.500 0.500 0.500
0.000 0.500 0.000
0.500 0.000 0.000
0.000 0.000 0.500
```



17.
Material: BaNa2TaB
Method: DFT, PBE
State: relaxed

Values from the calculation:
Space group ... P4/mmm
Formation energy from the elements ... 2.598 eV/atom

POSCAR file:
```
BaNa2TaB
1.0
5.913 0.000 0.000
0.000 5.913 0.000
0.000 0.000 5.409
Ba Na Ta B
1 2 1 1
direct
0.000 0.000 0.000
0.000 0.500 0.000
0.500 0.000 0.000
0.000 0.000 0.500
0.500 0.500 0.500
```



18.
Material: Ca2AlGa3Au4
Method: DFT, PBE
State: relaxed

Values from the calculation:
Space group ... P-4m2
Formation energy from the elements ... -0.583 eV/atom

POSCAR file:
```
Ca2AlGa3Au4
1.0
4.387 0.000 0.000
0.000 4.387 0.000
0.000 0.000 10.831
Ca Al Ga Au
2 1 3 4
direct
0.000 0.500 0.248
0.500 0.000 0.752
0.000 0.000 0.500
0.000 0.500 0.868
0.500 0.000 0.132
0.500 0.500 0.500
0.000 0.000 0.000
0.000 0.500 0.633
0.500 0.000 0.367
0.500 0.500 0.000
```



19.
Material: Ac3MgZn8
Method: DFT, PBE
State: relaxed

Values from the calculation:
Space group ... P3m1
Formation energy from the elements ... -0.176 eV/atom

POSCAR file:
```
Ac3MgZn8
1.0
5.888 0.000 0.000
-2.944 5.099 0.000
0.000 0.000 8.960
Ac Mg Zn
3 1 8
direct
0.000 0.000 0.000
0.000 0.000 0.403
0.333 0.667 0.867
0.333 0.667 0.477
0.009 0.505 0.198
0.359 0.180 0.694
0.495 0.505 0.198
0.495 0.991 0.198
0.667 0.333 0.433
0.667 0.333 0.957
0.820 0.180 0.694
0.820 0.641 0.694
```



20.
Material: LiOsRh2
Method: DFT, PBE
State: relaxed

Values from the calculation:
Space group ... C2/m
Formation energy from the elements ... 0.068 eV/atom

POSCAR file:
```
LiOsRh2
1.0
8.810 0.000 0.000
0.000 2.652 0.000
-0.599 0.000 4.690
Li Os Rh
2 2 4
direct
0.000 0.000 0.000
0.500 0.500 0.000
0.000 0.500 0.500
0.500 0.000 0.500
0.246 0.000 0.748
0.254 0.500 0.252
0.746 0.500 0.748
0.754 0.000 0.252
```